Below is a relaxed structure of AcLaEuIn, with properties calculated at the GGA-PBE level.

## Properties
Its total magnetic moment is 2.05 μB/atom. The value obtained for the energy of formation from the pure elements is -0.086 eV/atom. As for the uncorrected energy: -5.5981 eV per atom.

```
data_AcLaEuIn
_cell_length_a 8.2374
_cell_length_b 8.2374
_cell_length_c 8.2374
_cell_angle_alpha 90.00
_cell_angle_beta 90.00
_cell_angle_gamma 90.00
_symmetry_space_group_name_H-M 'F -4 3 m'
_symmetry_Int_Tables_number 216
_symmetry_space_group_name_Hall 'F -4 2 3'
loop_
_atom_site_label
_atom_site_type_symbol
_atom_site_fract_x
_atom_site_fract_y
_atom_site_fract_z
Ac1 Ac 0.0000 0.0000 0.0000
La1 La 0.2500 0.2500 0.2500
Eu1 Eu 0.2500 0.2500 0.7500
In1 In 0.0000 0.0000 0.5000
```

---

Below is a relaxed structure of LiAcEuIn, with properties calculated at the GGA-PBE level.

## Properties
Its total magnetic moment is 1.82 μB/atom. The value obtained for the energy of formation from the pure elements is -0.233 eV/atom. As for the uncorrected energy: -4.9919 eV per atom.

```
data_LiAcEuIn
_cell_length_a 8.0486
_cell_length_b 8.0486
_cell_length_c 8.0486
_cell_angle_alpha 90.00
_cell_angle_beta 90.00
_cell_angle_gamma 90.00
_symmetry_space_group_name_H-M 'F -4 3 m'
_symmetry_Int_Tables_number 216
_symmetry_space_group_name_Hall 'F -4 2 3'
loop_
_atom_site_label
_atom_site_type_symbol
_atom_site_fract_x
_atom_site_fract_y
_atom_site_fract_z
Li1 Li 0.0000 0.0000 0.0000
Ac1 Ac 0.2500 0.2500 0.7500
Eu1 Eu 0.2500 0.2500 0.2500
In1 In 0.0000 0.0000 0.5000
```

---

Below is a relaxed structure of AcEuLuIn, with properties calculated at the GGA-PBE level.

## Properties
Its total magnetic moment is 2.03 μB/atom. The value obtained for the energy of formation from the pure elements is -0.009 eV/atom. As for the uncorrected energy: -5.4200 eV per atom.

```
data_AcEuLuIn
_cell_length_a 8.0450
_cell_length_b 8.0450
_cell_length_c 8.0450
_cell_angle_alpha 90.00
_cell_angle_beta 90.00
_cell_angle_gamma 90.00
_symmetry_space_group_name_H-M 'F -4 3 m'
_symmetry_Int_Tables_number 216
_symmetry_space_group_name_Hall 'F -4 2 3'
loop_
_atom_site_label
_atom_site_type_symbol
_atom_site_fract_x
_atom_site_fract_y
_atom_site_fract_z
Ac1 Ac 0.0000 0.0000 0.0000
Eu1 Eu 0.2500 0.2500 0.2500
Lu1 Lu 0.2500 0.2500 0.7500
In1 In 0.0000 0.0000 0.5000
```

---

Below is a relaxed structure of NaAcEuIn, with properties calculated at the GGA-PBE level.

## Properties
Its total magnetic moment is 1.83 μB/atom. The value obtained for the energy of formation from the pure elements is -0.170 eV/atom. As for the uncorrected energy: -4.7803 eV per atom.

```
data_NaAcEuIn
_cell_length_a 8.2210
_cell_length_b 8.2210
_cell_length_c 8.2210
_cell_angle_alpha 90.00
_cell_angle_beta 90.00
_cell_angle_gamma 90.00
_symmetry_space_group_name_H-M 'F -4 3 m'
_symmetry_Int_Tables_number 216
_symmetry_space_group_name_Hall 'F -4 2 3'
loop_
_atom_site_label
_atom_site_type_symbol
_atom_site_fract_x
_atom_site_fract_y
_atom_site_fract_z
Na1 Na 0.0000 0.0000 0.0000
Ac1 Ac 0.2500 0.2500 0.2500
Eu1 Eu 0.2500 0.2500 0.7500
In1 In 0.0000 0.0000 0.5000
```

---

Below is a relaxed structure of AcEuInPb, with properties calculated at the GGA-PBE level.

## Properties
Its total magnetic moment is 1.81 μB/atom. The value obtained for the energy of formation from the pure elements is -0.469 eV/atom. As for the uncorrected energy: -5.6767 eV per atom.

```
data_AcEuInPb
_cell_length_a 8.1304
_cell_length_b 8.1304
_cell_length_c 8.1304
_cell_angle_alpha 90.00
_cell_angle_beta 90.00
_cell_angle_gamma 90.00
_symmetry_space_group_name_H-M 'F -4 3 m'
_symmetry_Int_Tables_number 216
_symmetry_space_group_name_Hall 'F -4 2 3'
loop_
_atom_site_label
_atom_site_type_symbol
_atom_site_fract_x
_atom_site_fract_y
_atom_site_fract_z
Ac1 Ac 0.0000 0.0000 0.0000
Eu1 Eu 0.0000 0.0000 0.5000
In1 In 0.2500 0.2500 0.2500
Pb1 Pb 0.2500 0.2500 0.7500
```

---

Below is a relaxed structure of AcEuInPd, with properties calculated at the GGA-PBE level.

## Properties
Its total magnetic moment is 1.76 μB/atom. The value obtained for the energy of formation from the pure elements is -0.481 eV/atom. As for the uncorrected energy: -6.0598 eV per atom.

```
data_AcEuInPd
_cell_length_a 7.7744
_cell_length_b 7.7744
_cell_length_c 7.7744
_cell_angle_alpha 90.00
_cell_angle_beta 90.00
_cell_angle_gamma 90.00
_symmetry_space_group_name_H-M 'F -4 3 m'
_symmetry_Int_Tables_number 216
_symmetry_space_group_name_Hall 'F -4 2 3'
loop_
_atom_site_label
_atom_site_type_symbol
_atom_site_fract_x
_atom_site_fract_y
_atom_site_fract_z
Ac1 Ac 0.0000 0.0000 0.0000
Eu1 Eu 0.0000 0.0000 0.5000
In1 In 0.2500 0.2500 0.7500
Pd1 Pd 0.2500 0.2500 0.2500
```

---

Below is a relaxed structure of AcPmEuIn, with properties calculated at the GGA-PBE level.

## Properties
Its total magnetic moment is 1.99 μB/atom. The value obtained for the energy of formation from the pure elements is -0.065 eV/atom. As for the uncorrected energy: -5.5325 eV per atom.

```
data_AcPmEuIn
_cell_length_a 8.1540
_cell_length_b 8.1540
_cell_length_c 8.1540
_cell_angle_alpha 90.00
_cell_angle_beta 90.00
_cell_angle_gamma 90.00
_symmetry_space_group_name_H-M 'F -4 3 m'
_symmetry_Int_Tables_number 216
_symmetry_space_group_name_Hall 'F -4 2 3'
loop_
_atom_site_label
_atom_site_type_symbol
_atom_site_fract_x
_atom_site_fract_y
_atom_site_fract_z
Ac1 Ac 0.0000 0.0000 0.0000
Pm1 Pm 0.2500 0.2500 0.7500
Eu1 Eu 0.2500 0.2500 0.2500
In1 In 0.0000 0.0000 0.5000
```

---

Below is a relaxed structure of AcPrEuIn, with properties calculated at the GGA-PBE level.

## Properties
Its total magnetic moment is 2.00 μB/atom. The value obtained for the energy of formation from the pure elements is -0.074 eV/atom. As for the uncorrected energy: -5.5489 eV per atom.

```
data_AcPrEuIn
_cell_length_a 8.1984
_cell_length_b 8.1984
_cell_length_c 8.1984
_cell_angle_alpha 90.00
_cell_angle_beta 90.00
_cell_angle_gamma 90.00
_symmetry_space_group_name_H-M 'F -4 3 m'
_symmetry_Int_Tables_number 216
_symmetry_space_group_name_Hall 'F -4 2 3'
loop_
_atom_site_label
_atom_site_type_symbol
_atom_site_fract_x
_atom_site_fract_y
_atom_site_fract_z
Ac1 Ac 0.0000 0.0000 0.0000
Pr1 Pr 0.2500 0.2500 0.2500
Eu1 Eu 0.2500 0.2500 0.7500
In1 In 0.0000 0.0000 0.5000
```

---

Below is a relaxed structure of AcEuInPt, with properties calculated at the GGA-PBE level.

## Properties
Its total magnetic moment is 1.77 μB/atom. The value obtained for the energy of formation from the pure elements is -0.600 eV/atom. As for the uncorrected energy: -6.3906 eV per atom.

```
data_AcEuInPt
_cell_length_a 7.7103
_cell_length_b 7.7103
_cell_length_c 7.7103
_cell_angle_alpha 90.00
_cell_angle_beta 90.00
_cell_angle_gamma 90.00
_symmetry_space_group_name_H-M 'F -4 3 m'
_symmetry_Int_Tables_number 216
_symmetry_space_group_name_Hall 'F -4 2 3'
loop_
_atom_site_label
_atom_site_type_symbol
_atom_site_fract_x
_atom_site_fract_y
_atom_site_fract_z
Ac1 Ac 0.0000 0.0000 0.0000
Eu1 Eu 0.0000 0.0000 0.5000
In1 In 0.2500 0.2500 0.7500
Pt1 Pt 0.2500 0.2500 0.2500
```

---

Below is a relaxed structure of AcEuInRh, with properties calculated at the GGA-PBE level.

## Properties
Its total magnetic moment is 1.73 μB/atom. The value obtained for the energy of formation from the pure elements is -0.342 eV/atom. As for the uncorrected energy: -6.4605 eV per atom.

```
data_AcEuInRh
_cell_length_a 7.6510
_cell_length_b 7.6510
_cell_length_c 7.6510
_cell_angle_alpha 90.00
_cell_angle_beta 90.00
_cell_angle_gamma 90.00
_symmetry_space_group_name_H-M 'F -4 3 m'
_symmetry_Int_Tables_number 216
_symmetry_space_group_name_Hall 'F -4 2 3'
loop_
_atom_site_label
_atom_site_type_symbol
_atom_site_fract_x
_atom_site_fract_y
_atom_site_fract_z
Ac1 Ac 0.0000 0.0000 0.0000
Eu1 Eu 0.0000 0.0000 0.5000
In1 In 0.2500 0.2500 0.2500
Rh1 Rh 0.2500 0.2500 0.7500
```

---

Below is a relaxed structure of AcEuInSb, with properties calculated at the GGA-PBE level.

## Properties
Its total magnetic moment is 1.82 μB/atom. As for the uncorrected energy: -5.9179 eV per atom. For the energy relative to the elements, uncorrected, the calculation gives -0.607 eV/atom.

```
data_AcEuInSb
_cell_length_a 8.0576
_cell_length_b 8.0576
_cell_length_c 8.0576
_cell_angle_alpha 90.00
_cell_angle_beta 90.00
_cell_angle_gamma 90.00
_symmetry_space_group_name_H-M 'F -4 3 m'
_symmetry_Int_Tables_number 216
_symmetry_space_group_name_Hall 'F -4 2 3'
loop_
_atom_site_label
_atom_site_type_symbol
_atom_site_fract_x
_atom_site_fract_y
_atom_site_fract_z
Ac1 Ac 0.0000 0.0000 0.0000
Eu1 Eu 0.0000 0.0000 0.5000
In1 In 0.2500 0.2500 0.7500
Sb1 Sb 0.2500 0.2500 0.2500
```

---

Below is a relaxed structure of AcEuInSn, with properties calculated at the GGA-PBE level.

## Properties
Its total magnetic moment is 1.79 μB/atom. The value obtained for the energy of formation from the pure elements is -0.532 eV/atom. As for the uncorrected energy: -5.8130 eV per atom.

```
data_AcEuInSn
_cell_length_a 8.0535
_cell_length_b 8.0535
_cell_length_c 8.0535
_cell_angle_alpha 90.00
_cell_angle_beta 90.00
_cell_angle_gamma 90.00
_symmetry_space_group_name_H-M 'F -4 3 m'
_symmetry_Int_Tables_number 216
_symmetry_space_group_name_Hall 'F -4 2 3'
loop_
_atom_site_label
_atom_site_type_symbol
_atom_site_fract_x
_atom_site_fract_y
_atom_site_fract_z
Ac1 Ac 0.0000 0.0000 0.0000
Eu1 Eu 0.0000 0.0000 0.5000
In1 In 0.2500 0.2500 0.7500
Sn1 Sn 0.2500 0.2500 0.2500
```

---

Below is a relaxed structure of SrAcEuIn, with properties calculated at the GGA-PBE level.

## Properties
Its total magnetic moment is 1.81 μB/atom. The value obtained for the energy of formation from the pure elements is -0.024 eV/atom. As for the uncorrected energy: -4.7244 eV per atom.

```
data_SrAcEuIn
_cell_length_a 8.4737
_cell_length_b 8.4737
_cell_length_c 8.4737
_cell_angle_alpha 90.00
_cell_angle_beta 90.00
_cell_angle_gamma 90.00
_symmetry_space_group_name_H-M 'F -4 3 m'
_symmetry_Int_Tables_number 216
_symmetry_space_group_name_Hall 'F -4 2 3'
loop_
_atom_site_label
_atom_site_type_symbol
_atom_site_fract_x
_atom_site_fract_y
_atom_site_fract_z
Sr1 Sr 0.0000 0.0000 0.0000
Ac1 Ac 0.2500 0.2500 0.7500
Eu1 Eu 0.0000 0.0000 0.5000
In1 In 0.2500 0.2500 0.2500
```

---

Below is a relaxed structure of AcEuTlIn, with properties calculated at the GGA-PBE level.

## Properties
Its total magnetic moment is 1.85 μB/atom. The value obtained for the energy of formation from the pure elements is -0.414 eV/atom. As for the uncorrected energy: -5.2860 eV per atom.

```
data_AcEuTlIn
_cell_length_a 8.1119
_cell_length_b 8.1119
_cell_length_c 8.1119
_cell_angle_alpha 90.00
_cell_angle_beta 90.00
_cell_angle_gamma 90.00
_symmetry_space_group_name_H-M 'F -4 3 m'
_symmetry_Int_Tables_number 216
_symmetry_space_group_name_Hall 'F -4 2 3'
loop_
_atom_site_label
_atom_site_type_symbol
_atom_site_fract_x
_atom_site_fract_y
_atom_site_fract_z
Ac1 Ac 0.0000 0.0000 0.0000
Eu1 Eu 0.0000 0.0000 0.5000
Tl1 Tl 0.2500 0.2500 0.2500
In1 In 0.2500 0.2500 0.7500
```

---

Below is a relaxed structure of AcEuTmIn, with properties calculated at the GGA-PBE level.

## Properties
Its total magnetic moment is 2.02 μB/atom. The value obtained for the energy of formation from the pure elements is -0.020 eV/atom. As for the uncorrected energy: -5.4183 eV per atom.

```
data_AcEuTmIn
_cell_length_a 8.0567
_cell_length_b 8.0567
_cell_length_c 8.0567
_cell_angle_alpha 90.00
_cell_angle_beta 90.00
_cell_angle_gamma 90.00
_symmetry_space_group_name_H-M 'F -4 3 m'
_symmetry_Int_Tables_number 216
_symmetry_space_group_name_Hall 'F -4 2 3'
loop_
_atom_site_label
_atom_site_type_symbol
_atom_site_fract_x
_atom_site_fract_y
_atom_site_fract_z
Ac1 Ac 0.0000 0.0000 0.0000
Eu1 Eu 0.2500 0.2500 0.2500
Tm1 Tm 0.2500 0.2500 0.7500
In1 In 0.0000 0.0000 0.5000
```